[1]
A relaxed TlPdF5 crystal, computed with PBE-GGA.

a b c (Å): 5.3822 5.9996 8.1061
angles (deg): 110.61 94.00 104.90
Element x y z (fractional)
Tl: 0.0000 0.0000 0.0000
Tl: 0.0000 0.5000 0.5000
Pd: 0.4561 0.2733 0.7838
Pd: 0.5439 0.7267 0.2162
F: 0.1141 0.9068 0.7202
F: 0.1706 0.4299 0.7159
F: 0.2916 0.3558 0.0417
F: 0.3067 0.9083 0.1208
F: 0.3750 0.6911 0.4409
F: 0.6250 0.3089 0.5591
F: 0.6933 0.0917 0.8792
F: 0.7084 0.6442 0.9583
F: 0.8294 0.5701 0.2841
F: 0.8859 0.0932 0.2798

Computed properties:
The total magnetic moment comes out at 3.96 Bohr magnetons per cell. Its space-group type is No. 2. The crystal system is triclinic. The total energy comes out at -3.846 eV per atom. The calculation puts the formation energy (no corrections) at -1.4292 eV/atom.

[2]
A relaxed RbNaI crystal, computed with PBE-GGA.

a b c (Å): 4.9912 4.7791 12.5331
angles (deg): 90.00 101.51 90.00
Element x y z (fractional)
Rb: 0.0000 0.0000 0.0000
Rb: 0.3225 0.0000 0.6404
Na: 0.1708 0.5000 0.3369
Na: 0.6698 0.0000 0.3348
I: 0.5604 0.5000 0.1207
I: 0.8843 0.5000 0.7645

Computed properties:
The total magnetic moment comes out at 0.00 Bohr magnetons per cell. Its space-group type is No. 6. The crystal system is monoclinic. Its energy above the most stable polymorph in this dataset is 30 meV per atom. The total energy comes out at -2.152 eV per atom. The calculation puts the formation energy (no corrections) at -0.8726 eV/atom.

[3]
A relaxed CeEuTh2 crystal, computed with PBE-GGA.

a b c (Å): 4.1883 4.1883 7.4124
angles (deg): 90.00 90.00 90.00
Element x y z (fractional)
Ce: 0.0000 0.0000 0.0000
Eu: 0.0000 0.0000 0.5000
Th: 0.5000 0.5000 0.2207
Th: 0.5000 0.5000 0.7793

Computed properties:
The total magnetic moment comes out at 7.05 Bohr magnetons per cell. Its space-group type is No. 123. For the energy of formation, the calculation gives 0.236 eV per atom. The crystal system is tetragonal. Its energy above the most stable polymorph in this dataset is 58 meV per atom. The total energy comes out at -7.526 eV per atom.

[4]
A relaxed SmDyYMg crystal, computed with PBE-GGA.

a b c (Å): 5.5432 5.5432 5.5432
angles (deg): 60.00 60.00 60.00
Element x y z (fractional)
Sm: 0.0000 0.0000 0.0000
Dy: 0.7500 0.7500 0.7500
Y: 0.5000 0.5000 0.5000
Mg: 0.2500 0.2500 0.2500

Computed properties:
The total magnetic moment comes out at 0.00 Bohr magnetons per cell. Its space-group type is No. 216. For the energy of formation, the calculation gives 0.043 eV per atom. The crystal system is cubic. Its energy above the most stable polymorph in this dataset is 76 meV per atom. The total energy comes out at -4.302 eV per atom.